# MgZr3Tl10Mo12O48

A relaxed structure of MgZr3Tl10Mo12O48 (PBE with a Hubbard U, Alexandria).

```
MgZr3Tl10Mo12O48
1.0
5.441 3.141 13.047
-5.441 3.141 13.047
0.000 -6.282 13.047
Mg Zr Tl Mo O
1 3 10 12 48
direct
0.000 0.000 0.000
0.253 0.253 0.253
0.500 0.500 0.500
0.747 0.747 0.747
0.000 0.635 0.365
0.099 0.099 0.099
0.101 0.500 0.899
0.365 0.000 0.635
0.390 0.390 0.390
0.500 0.899 0.101
0.610 0.610 0.610
0.635 0.365 0.000
0.899 0.101 0.500
0.901 0.901 0.901
0.011 0.361 0.776
0.130 0.721 0.494
0.224 0.639 0.989
0.279 0.870 0.506
0.361 0.776 0.011
0.494 0.130 0.721
0.506 0.279 0.870
0.639 0.989 0.224
0.721 0.494 0.130
0.776 0.011 0.361
0.870 0.506 0.279
0.989 0.224 0.639
0.046 0.347 0.261
0.048 0.073 0.784
0.073 0.784 0.048
0.102 0.355 0.820
0.109 0.859 0.626
0.135 0.338 0.611
0.137 0.673 0.407
0.141 0.891 0.374
0.148 0.243 0.456
0.180 0.645 0.898
0.216 0.927 0.952
0.243 0.456 0.148
0.261 0.046 0.347
0.285 0.575 0.548
0.327 0.863 0.593
0.338 0.611 0.135
0.347 0.261 0.046
0.355 0.820 0.102
0.374 0.141 0.891
0.389 0.662 0.865
0.407 0.137 0.673
0.425 0.715 0.452
0.452 0.425 0.715
0.456 0.148 0.243
0.544 0.757 0.852
0.548 0.285 0.575
0.575 0.548 0.285
0.593 0.327 0.863
0.611 0.135 0.338
0.626 0.109 0.859
0.645 0.898 0.180
0.653 0.954 0.739
0.662 0.865 0.389
0.673 0.407 0.137
0.715 0.452 0.425
0.739 0.653 0.954
0.757 0.852 0.544
0.784 0.048 0.073
0.820 0.102 0.355
0.852 0.544 0.757
0.859 0.626 0.109
0.863 0.593 0.327
0.865 0.389 0.662
0.891 0.374 0.141
0.898 0.180 0.645
0.927 0.952 0.216
0.952 0.216 0.927
0.954 0.739 0.653
```

Results
Symmetry: R32, No. 155
Energy, eV/atom: -6.78
Magnetic moment, μB per cell: 0.0